Record 1
## LaRu (GGA-PBE)

Data for LaRu after structural relaxation.

Values from the calculation:
DFT formation energy	-60	meV/atom
N(E_F)	0.85	states/eV/atom
symmetry	Pnma

Cell lengths 7.0913, 6.6068, 8.3500 Å; angles 90.00, 90.00, 90.00 degrees
Positions (direct):
Ru: 0.1712 0.5603 0.5471
Ru: 0.6712 0.9397 0.9529
Ru: 0.8288 0.0603 0.4529
La: 0.5276 0.2500 0.6942
La: 0.7800 0.7500 0.6524
La: 0.7200 0.2500 0.1524
La: 0.2200 0.2500 0.3476
La: 0.4724 0.7500 0.3058
La: 0.2800 0.7500 0.8476
Ru: 0.8288 0.4397 0.4529
Ru: 0.6712 0.5603 0.9529
La: 0.9724 0.7500 0.1942
Ru: 0.1712 0.9397 0.5471
La: 0.0276 0.2500 0.8058
Ru: 0.3288 0.4397 0.0471
Ru: 0.3288 0.0603 0.0471


Record 2
## LiBeTe2 (GGA-PBE)

Data for LiBeTe2 after structural relaxation.

Values from the calculation:
N(E_F)	0.37	states/eV/atom
VASP energy	-0.1083	hartree per atom
symmetry	C2/m

Cell lengths 5.5038, 7.2931, 4.4295 Å; angles 93.97, 63.37, 133.66 degrees
Positions (direct):
Li: 0.5000 0.0000 0.5000
Te: 0.0000 0.0000 0.0000
Be: 0.5000 0.5000 0.0000
Te: 0.0000 0.5000 0.5000


Record 3
## Li2CuTc (GGA-PBE)

Data for Li2CuTc after structural relaxation.

Values from the calculation:
DFT formation energy	125	meV/atom
relative energy among the computed polymorphs	8.0	meV per atom
N(E_F)	0.48	states/eV/atom
symmetry	Cmmm

Cell lengths 2.5091, 2.5091, 8.7918 Å; angles 90.00, 90.00, 102.17 degrees
Positions (direct):
Cu: 0.5000 0.5000 0.7500
Tc: 0.5000 0.5000 0.2500
Li: 0.0000 0.0000 0.5077
Li: 0.0000 0.0000 0.9923


Record 4
## ZnMo3 (GGA-PBE)

Data for ZnMo3 after structural relaxation.

Values from the calculation:
DFT formation energy	32	meV/atom
relative energy among the computed polymorphs	0.0	meV per atom
N(E_F)	0.90	states/eV/atom
symmetry	Pm-3n

Cell lengths 4.9653, 4.9653, 4.9653 Å; angles 90.00, 90.00, 90.00 degrees
Positions (direct):
Mo: 0.0000 0.7500 0.5000
Mo: 0.5000 0.0000 0.7500
Zn: 0.0000 0.0000 0.0000
Zn: 0.5000 0.5000 0.5000
Mo: 0.5000 0.0000 0.2500
Mo: 0.2500 0.5000 0.0000
Mo: 0.0000 0.2500 0.5000
Mo: 0.7500 0.5000 0.0000


Record 5
## SrGaOs3 (GGA-PBE)

Data for SrGaOs3 after structural relaxation.

Values from the calculation:
DFT formation energy	1422	meV/atom
relative energy among the computed polymorphs	0.0	meV per atom
N(E_F)	1.15	states/eV/atom
symmetry	Pm-3m

Cell lengths 4.6815, 4.6815, 4.6815 Å; angles 90.00, 90.00, 90.00 degrees
Site moments in Bohr magnetons follow the coordinates.
Positions (direct):
Os: 0.0000 0.0000 0.5000  0.67
Os: 0.0000 0.5000 0.0000  0.75
Ga: 0.0000 0.0000 0.0000  -0.01
Os: 0.5000 0.0000 0.0000  0.46
Sr: 0.5000 0.5000 0.5000  0.01


Record 6
## CaMg3 (GGA-PBE)

Data for CaMg3 after structural relaxation.

Values from the calculation:
DFT formation energy	35	meV/atom
N(E_F)	0.77	states/eV/atom
symmetry	R-3m

Cell lengths 6.3156, 6.3156, 6.3156 Å; angles 117.17, 117.17, 117.17 degrees
Positions (direct):
Mg: 0.5000 0.0000 0.5000
Mg: 0.5000 0.5000 0.0000
Ca: 0.0000 0.0000 0.0000
Mg: 0.0000 0.5000 0.5000